A plane-wave DFT calculation with GGA+U was carried out for a relaxed structure of AcV2SbO8.

a = 5.715 Å, b = 5.715 Å, c = 7.304 Å
α = 90.00°, β = 90.00°, γ = 120.00°
Sites, in units of the cell vectors:
Sb1 0.000 0.000 0.500
V1 0.667 0.333 0.215
O1 0.163 0.838 0.716
Ac1 0.000 0.000 0.000
O2 0.667 0.333 0.985
O3 0.838 0.675 0.284
O4 0.675 0.837 0.716
V2 0.333 0.667 0.785
O5 0.837 0.162 0.284
O6 0.162 0.325 0.716
O7 0.333 0.667 0.015
O8 0.325 0.163 0.284

Raw total energy in eV per formula unit: -88.16
Size of the total moment in μB/cell: 0.0